Entry i
DFT (PBE-GGA) results for a relaxed structure of Lu2Sb2O7.

```
22
Lattice="-3.7913 3.7714 5.3217 3.7913 -3.7714 5.3217 3.7913 3.7714 -5.3217" Properties=species:S:1:pos:R:3 pbc="T T T"
Lu 0.0000 5.6004 0.0000
Lu 2.3128 3.6349 2.6609
Lu 3.7913 1.8291 0.0000
Lu 1.4785 -0.1364 2.6609
Sb 0.0000 2.0903 0.0000
Sb 1.8610 -0.1469 7.9826
Sb 0.0000 2.0903 5.3217
Sb 1.9303 3.6245 -2.6609
O 3.4314 3.4246 -3.9405
O 3.4314 3.4246 -1.3812
O 1.8834 1.9052 1.2487
O -0.5520 3.8106 1.2078
O 1.4014 1.7474 7.9826
O -0.5520 3.8106 4.1139
O 1.8834 1.9052 4.0730
O -1.8834 1.9053 6.5704
O 4.3433 0.0393 1.2078
O -1.4014 1.7474 2.6609
O 4.3433 0.0393 4.1139
O 1.9079 -1.8661 4.0730
O 0.3599 -0.3468 6.7030
O 0.3599 -0.3468 9.2622
```

Properties
Space-group type: Ima2 (46)
Spin magnetization: 0.00 Bohr magnetons per cell
Calculated density: 7.7 g cm⁻³


Entry ii
DFT (PBE-GGA) results for a relaxed structure of Lu2Sb2O7.

```
66
Lattice="7.4784 0.0000 0.0000 -3.7392 6.4765 0.0000 0.0000 0.0000 18.2472" Properties=species:S:1:pos:R:3 pbc="T T T"
Lu -3.1875 5.5210 6.0824
Lu -3.0884 5.3492 15.2060
Lu 4.2907 3.2818 18.0583
Lu 6.3751 0.0000 0.0000
Lu 2.4910 2.0749 5.8935
Lu 6.1768 0.0000 9.1236
Lu 4.4360 1.1198 11.9759
Lu 0.6968 5.3567 6.2713
Lu 0.5515 3.1947 0.1889
Lu -1.2482 4.4016 12.3537
Lu 0.6508 1.1273 3.0412
Lu 0.5517 0.9555 12.1648
Sb -1.1655 2.0187 15.2060
Sb -1.1809 2.0453 6.0824
Sb 4.3399 3.2228 9.1263
Sb 2.5175 2.1471 15.2087
Sb 4.3603 1.1067 3.0439
Sb 2.5583 4.4312 12.1648
Sb 2.3310 0.0000 9.1236
Sb 2.5737 4.4578 3.0412
Sb 2.3618 0.0000 0.0000
Sb 0.6211 5.3698 15.2033
Sb 0.6007 3.2537 9.1209
Sb -1.2217 4.3295 3.0385
O 4.1705 5.3744 13.0833
O -2.9333 5.3190 3.5587
O 4.6162 3.5761 11.0927
O 5.5161 2.5975 3.6221
O 2.5930 4.3610 0.7696
O 3.9468 2.8843 7.2206
O 6.2195 2.0504 12.9344
O 4.1407 3.2005 15.7740
O 2.4709 3.4783 9.7045
O 3.0071 1.9759 13.3030
O 2.6364 1.9857 3.6092
O 4.5281 0.6907 5.0103
O 6.3083 0.1775 7.0009
O 4.4406 1.2903 9.6916
O 2.3339 6.3573 15.7235
O 2.5691 6.2990 11.2463
O 4.2637 1.6163 1.1382
O 6.0731 0.1192 2.5237
O 2.0734 2.2097 17.1751
O 3.2307 0.4007 15.7869
O 0.5995 1.2767 9.6411
O 2.4051 0.0651 6.8520
O 0.7889 5.7858 13.2369
O -0.5085 6.0758 2.4603
O 2.4803 4.4262 5.3128
O 0.7388 0.9246 0.9185
O 0.5245 4.8602 17.1090
O -1.3341 6.4114 11.3952
O 0.7013 5.1862 8.5556
O 1.7768 3.8790 14.6251
O 0.2076 3.5922 11.0266
O 0.4015 3.2760 2.4732
O -1.6658 4.2668 1.0721
O -3.0005 5.5519 17.3287
O -1.1028 4.4908 14.6380
O 4.3387 5.1999 8.6061
O -0.7321 4.5007 4.9442
O 0.8770 2.9005 7.1545
O -1.2683 2.9982 8.5427
O 0.8059 1.1575 14.6885
O -1.1462 2.1155 17.4776
O 0.4313 1.1021 5.1639
```

Properties
Space-group type: P3_121 (152)
Spin magnetization: 0.00 Bohr magnetons per cell
Calculated density: 8.0 g cm⁻³


Which one sits at the top of the stability order? entry ii does.


Entry i
DFT (PBE-GGA) results for a relaxed structure of SrLu2O4.

```
14
Lattice="-2.3505 -3.7585 3.6111 4.0204 3.9935 -0.7617 -7.0140 7.7239 3.4737" Properties=species:S:1:pos:R:3 pbc="T T T"
Sr -0.2073 2.9138 1.8050
Sr -5.1368 5.0450 4.5181
Lu -8.0075 4.4456 6.2500
Lu -5.5108 1.6962 5.0135
Lu 2.6634 3.5133 0.0731
Lu 0.1667 6.2626 1.3096
O 0.8350 0.1175 1.4247
O -2.6720 3.9794 3.1616
O -7.2763 2.4417 5.9866
O -1.5884 -1.0973 2.9451
O -3.5993 1.1172 3.9410
O -1.7448 6.8417 2.3821
O -3.7557 9.0561 3.3780
O 1.9322 5.5171 0.3365
```

Properties
Space-group type: Cmcm (63)
Spin magnetization: 0.00 Bohr magnetons per cell
Calculated density: 8.4 g cm⁻³


Entry ii
DFT (PBE-GGA) results for a relaxed structure of SrLu2O4.

```
28
Lattice="-2.5331 -2.0703 0.6758 5.9976 -5.4026 5.9295 -3.0310 6.7031 9.1733" Properties=species:S:1:pos:R:3 pbc="T T T"
Sr -2.3961 1.4771 7.9281
Sr 0.4363 -0.8846 3.0533
Sr -0.0028 0.1147 12.7253
Sr 2.8296 -2.2470 7.8505
Lu -4.1550 4.0058 9.0820
Lu -2.6139 0.6449 4.5624
Lu -0.8076 3.1802 10.8430
Lu 0.7542 -0.2267 6.2605
Lu -0.3207 -0.5432 9.5182
Lu 1.2412 -3.9501 4.9357
Lu 3.0475 -1.4147 11.2163
Lu 4.5886 -4.7757 6.6967
O -1.3792 1.2803 2.8809
O -1.6785 -1.4517 1.6459
O -1.4870 2.3197 5.6605
O -1.9018 3.9321 9.0456
O -1.1633 -0.8955 5.2808
O 0.3124 -3.4637 2.9446
O 0.1703 1.0453 7.9687
O -1.3888 1.0993 10.5464
O 1.8223 -1.8692 5.2323
O 0.2632 -1.8152 7.8100
O 0.1212 2.6938 12.8341
O 1.5968 0.1256 10.4979
O 2.3353 -4.7020 6.7331
O 1.9205 -3.0895 10.1182
O 2.1121 0.6818 14.1327
O 1.8127 -2.0502 12.8978
```

Properties
Space-group type: Pnma (62)
Spin magnetization: 0.00 Bohr magnetons per cell
Calculated density: 8.5 g cm⁻³


Entry iii
DFT (PBE-GGA) results for a relaxed structure of SrLu2O4.

```
14
Lattice="6.8095 0.0000 0.0000 3.4048 5.8972 0.0000 3.4048 1.9657 5.5600" Properties=species:S:1:pos:R:3 pbc="T T T"
Sr 6.8095 3.9315 2.7800
Sr 10.2143 5.8972 4.1700
Lu 3.4048 1.9657 3.4750
Lu 3.4048 3.9315 0.6950
Lu 1.7024 0.9829 0.6950
Lu 5.1072 0.9829 0.6950
O 8.2641 7.0232 4.9661
O 6.8095 6.1834 1.9838
O 4.8593 2.8055 1.9838
O 10.2143 5.8972 1.7815
O 6.8095 3.9315 5.1685
O 12.1645 7.0232 4.9661
O 10.2143 3.6453 4.9661
O 8.7597 2.8055 1.9838
```

Properties
Space-group type: Fd-3m (227)
Spin magnetization: 0.00 Bohr magnetons per cell
Calculated density: 7.5 g cm⁻³


Which one sits at the top of the stability order? entry ii does.


Entry i
DFT (PBE-GGA) results for a relaxed structure of LuTa3O9.

```
26
Lattice="-0.2943 3.4117 6.6328 -4.6543 2.0185 -1.2448 -4.0736 -6.5037 3.1645" Properties=species:S:1:pos:R:3 pbc="T T T"
Lu -6.3440 -0.0227 1.8304
Lu -2.6782 -1.0507 6.7222
Ta 0.0000 0.0000 0.0000
Ta -0.1472 1.7059 3.3164
Ta -5.2985 -3.4285 1.5912
Ta -5.4412 -1.7737 4.8085
Ta -3.7237 2.3551 6.9613
Ta -3.5809 0.7003 3.7441
O -8.2273 -3.6854 3.6308
O -7.4446 -0.1845 7.5922
O -7.3376 -1.4248 5.1808
O -5.6567 1.7165 6.8708
O -5.5373 0.3323 4.1798
O -5.8615 -2.0114 2.8747
O -3.8869 3.7925 5.7997
O -3.7733 2.4748 3.2379
O -4.0893 -0.0107 1.9243
O -4.9328 -1.0627 6.6283
O -5.1352 -4.8659 2.7529
O -5.2489 -3.5482 5.3147
O -3.1607 0.9380 5.6779
O -3.3655 -2.7900 1.6818
O -3.4849 -1.4058 4.3728
O -1.5775 -0.8890 0.9604
O -1.6845 0.3514 3.3718
O -0.7948 2.6120 4.9218
```

Properties
Space-group type: P2_1/m (11)
Spin magnetization: 0.00 Bohr magnetons per cell
Calculated density: 8.9 g cm⁻³


Entry ii
DFT (PBE-GGA) results for a relaxed structure of LuTa3O9.

```
52
Lattice="6.4046 0.0000 0.0000 0.0000 7.5912 0.0000 0.0000 0.0000 12.5387" Properties=species:S:1:pos:R:3 pbc="T T T"
Lu 0.3809 1.8978 5.8066
Lu 2.8214 5.6934 12.0759
Lu 3.5832 1.8978 0.4628
Lu 6.0237 5.6934 6.7321
Ta 0.0000 0.0000 0.0000
Ta 0.0000 3.7956 0.0000
Ta 1.2433 0.0203 8.9176
Ta 1.2433 3.7753 8.9176
Ta 1.9590 3.8158 2.6482
Ta 1.9590 7.5709 2.6482
Ta 3.2023 0.0000 6.2694
Ta 3.2023 3.7956 6.2694
Ta 4.4456 0.0203 9.8905
Ta 4.4456 3.7753 9.8905
Ta 5.1614 3.8158 3.6211
Ta 5.1614 7.5709 3.6211
O 0.0471 0.3764 10.5612
O 0.0471 3.4192 10.5612
O 0.5113 5.6934 12.1752
O 0.7319 0.3362 4.1547
O 0.7319 3.4594 4.1547
O 0.9365 1.8978 8.3114
O 1.2648 5.6934 8.6419
O 1.2848 4.0624 6.6902
O 1.2848 7.3243 6.6902
O 1.9175 3.5288 0.4208
O 1.9175 0.2668 0.4208
O 1.9375 1.8978 2.3725
O 2.2658 5.6934 2.0420
O 2.4704 4.1318 10.4241
O 2.4704 7.2550 10.4241
O 2.6910 1.8978 5.9059
O 3.1552 4.1720 4.2918
O 3.1552 7.2148 4.2918
O 3.2495 0.3764 8.2469
O 3.2495 3.4192 8.2469
O 3.7136 5.6934 6.6329
O 3.9342 0.3362 2.1146
O 3.9342 3.4594 2.1146
O 4.1388 1.8978 10.4967
O 4.4672 5.6934 10.1662
O 4.4871 4.0624 12.1179
O 4.4871 7.3243 12.1179
O 5.1198 0.2668 5.8485
O 5.1198 3.5288 5.8485
O 5.1398 1.8978 3.8969
O 5.4682 5.6934 4.2273
O 5.6727 4.1318 8.3840
O 5.6727 7.2550 8.3840
O 5.8933 1.8978 0.3635
O 6.3575 4.1720 1.9775
O 6.3575 7.2148 1.9775
```

Properties
Space-group type: Pnma (62)
Spin magnetization: 0.00 Bohr magnetons per cell
Calculated density: 9.4 g cm⁻³


Which one sits at the top of the stability order? entry i does.


Entry i
DFT (PBE-GGA) results for a relaxed structure of Lu2TiO5.

```
16
Lattice="5.7482 -0.0113 0.0000 -4.3336 3.7765 0.0000 0.0000 0.0000 10.3547" Properties=species:S:1:pos:R:3 pbc="T T T"
Lu -2.8851 3.2323 4.4687
Lu -2.8851 3.2323 0.7087
Lu 4.2997 0.5329 5.8861
Lu 4.2997 0.5329 9.6460
Ti -2.5969 3.1240 7.7661
Ti 4.0115 0.6412 2.5887
O -3.8320 3.5880 9.0891
O -3.8320 3.5880 6.4430
O 2.7962 1.0978 4.2629
O 2.7962 1.0978 0.9145
O -1.6035 2.7508 2.5887
O 3.0181 1.0144 7.7661
O -1.3816 2.6674 6.0919
O -1.3816 2.6674 9.4403
O 5.2465 0.1772 1.2656
O 5.2465 0.1772 3.9118
```

Properties
Space-group type: Cmcm (63)
Spin magnetization: 0.00 Bohr magnetons per cell
Calculated density: 7.1 g cm⁻³


Entry ii
DFT (PBE-GGA) results for a relaxed structure of Lu2TiO5.

```
32
Lattice="-0.9924 2.1535 -2.6863 -6.9905 -1.0338 1.7538 0.5828 11.9622 9.3744" Properties=species:S:1:pos:R:3 pbc="T T T"
Lu -0.8220 1.5203 0.3276
Lu -0.8200 9.1720 6.4610
Lu -3.1034 4.0465 0.8060
Lu -3.2695 8.2465 4.2343
Lu -4.1306 4.8354 4.2076
Lu -4.2967 9.0354 7.6360
Lu -6.5801 3.9099 1.9809
Lu -6.5781 11.5616 8.1143
O -1.2507 3.6719 -0.1788
O -1.0430 6.9506 2.3729
O -1.1224 9.2781 4.2682
O -1.7915 1.4866 -1.7309
O -2.0490 4.1755 2.9096
O -1.7641 11.3058 6.1308
O -2.4022 6.1841 4.6503
O -2.8990 1.9273 1.4212
O -2.6252 11.5044 8.9978
O -2.7364 8.2400 6.4219
O -4.6637 4.8419 2.0201
O -4.7748 1.5775 -0.5558
O -4.5011 11.1546 7.0207
O -4.9979 6.8978 3.7916
O -5.6360 1.7761 2.3112
O -5.3511 8.9063 5.5324
O -5.6086 11.5953 10.1728
O -6.2776 3.8038 4.1738
O -6.3571 6.1313 6.0691
O -6.1494 9.4100 8.6208
Ti -0.8867 5.4938 3.5369
Ti -2.8139 12.2969 7.3131
Ti -4.5862 0.7850 1.1288
Ti -6.5134 7.5881 4.9050
```

Properties
Space-group type: Pnma (62)
Spin magnetization: 0.00 Bohr magnetons per cell
Calculated density: 8.0 g cm⁻³


Which one sits at the top of the stability order? entry ii does.